Sr2LiGe3: relaxed, PBE-GGA.

Calculated values
Polymorph energy (0 for the lowest one) = 0.000 eV/atom
Formation enthalpy at 0 K = -565.4 meV per atom

Lattice parameters (Å, degrees): 4.6276 11.1851 11.8993 90.00 90.00 90.00
Atoms (fractional coordinates):
Sr 0.5000 0.5502 0.8491
Sr 0.5000 0.4498 0.1509
Sr 0.0000 0.0502 0.6509
Sr 0.0000 0.9498 0.3491
Sr 0.5000 0.8222 0.0718
Sr 0.5000 0.1778 0.9282
Sr 0.0000 0.3222 0.4282
Sr 0.0000 0.6778 0.5718
Li 0.5000 0.1390 0.2142
Li 0.5000 0.8610 0.7858
Li 0.0000 0.6390 0.2858
Li 0.0000 0.3610 0.7142
Ge 0.5000 0.5326 0.3990
Ge 0.5000 0.4674 0.6010
Ge 0.0000 0.0326 0.1010
Ge 0.0000 0.9674 0.8990
Ge 0.5000 0.7543 0.3627
Ge 0.5000 0.2457 0.6373
Ge 0.0000 0.2543 0.1373
Ge 0.0000 0.7457 0.8627
Ge 0.5000 0.1100 0.4577
Ge 0.5000 0.8900 0.5423
Ge 0.0000 0.6100 0.0423
Ge 0.0000 0.3900 0.9577

=====

SrLi3Ge: relaxed, PBE-GGA.

Calculated values
Polymorph energy (0 for the lowest one) = 0.000 eV/atom
Formation enthalpy at 0 K = -247.4 meV per atom

Lattice parameters (Å, degrees): 4.5714 7.4202 7.3361 78.98 89.99 89.99
Atoms (fractional coordinates):
Sr 0.3812 0.5675 0.2208
Sr 0.8811 0.1073 0.5861
Li 0.8809 0.6927 0.5068
Li 0.3807 0.9830 0.2984
Li 0.8809 0.7025 0.8656
Li 0.8816 0.2320 0.0457
Li 0.3814 0.4428 0.7610
Li 0.3807 0.9715 0.9404
Ge 0.3809 0.7915 0.6536
Ge 0.8805 0.8832 0.1519

=====

Sr2LiGe2: relaxed, PBE-GGA.

Calculated values
Formation enthalpy at 0 K = -63.1 meV per atom

Lattice parameters (Å, degrees): 5.3545 5.3545 7.0838 67.79 67.79 90.00
Atoms (fractional coordinates):
Sr 0.7500 0.2500 0.5000
Sr 0.2500 0.7500 0.5000
Ge 0.4002 0.4002 0.1995
Ge 0.5998 0.5998 0.8005
Li 0.0000 0.0000 0.0000

=====

Sr3Li3Ge8: relaxed, PBE-GGA.

Calculated values
Formation enthalpy at 0 K = -344.8 meV per atom

Lattice parameters (Å, degrees): 4.1342 9.0094 9.0094 75.67 76.74 76.74
Atoms (fractional coordinates):
Sr 0.5000 0.5000 0.5000
Sr 0.7884 0.2116 0.2116
Sr 0.2116 0.7884 0.7884
Li 0.5000 0.0000 0.0000
Li 0.0000 0.8071 0.1929
Li 0.0000 0.1929 0.8071
Ge 0.6365 0.0633 0.6638
Ge 0.3635 0.9367 0.3362
Ge 0.6365 0.6638 0.0633
Ge 0.3635 0.3362 0.9367
Ge 0.8439 0.8146 0.4977
Ge 0.1561 0.1854 0.5023
Ge 0.8439 0.4977 0.8146
Ge 0.1561 0.5023 0.1854

=====

Sr2LiGe4: relaxed, PBE-GGA.

Calculated values
Formation enthalpy at 0 K = -118.4 meV per atom

Lattice parameters (Å, degrees): 4.7122 4.7122 8.6664 74.22 74.22 90.00
Atoms (fractional coordinates):
Sr 0.6501 0.6501 0.6999
Sr 0.3499 0.3499 0.3001
Ge 0.8532 0.8532 0.2936
Ge 0.1468 0.1468 0.7064
Ge 0.0000 0.5000 0.0000
Ge 0.5000 0.0000 0.0000
Li 0.0000 0.0000 0.0000

=====

Sr4LiGe2: relaxed, PBE-GGA.

Calculated values
Formation enthalpy at 0 K = -42.9 meV per atom

Lattice parameters (Å, degrees): 6.0952 6.0952 8.7148 69.53 69.53 90.00
Atoms (fractional coordinates):
Sr 0.7820 0.7820 0.4360
Sr 0.2180 0.2180 0.5640
Sr 0.0000 0.5000 0.0000
Sr 0.5000 0.0000 0.0000
Ge 0.5853 0.5853 0.8293
Ge 0.4147 0.4147 0.1707
Li 0.0000 0.0000 0.0000